CaAgW: optimized geometry, PBE.

It has space group P-6m2 (No. 187), with a = 5.0366 Å, b = 5.0366 Å, c = 2.7699 Å, α = 90.00°, β = 90.00° and γ = 120.00°. The asymmetric unit holds Ca at (0.0000, 0.0000, 0.0000), Ag at (0.3333, 0.6667, 0.5000) and W at (0.6667, 0.3333, 0.5000).

For the formation energy, the calculation gives 884 meV/atom. Its crystal system is hexagonal.

---

ZrV2CuSb: optimized geometry, PBE.

It has space group P4/mmm (No. 123), with a = 4.721 Å, b = 4.721 Å, c = 4.928 Å, α = 90.00°, β = 90.00° and γ = 90.00°. The asymmetric unit holds Zr at (0.000, 0.000, 0.000), V at (0.000, 0.500, 0.000), Cu at (0.000, 0.000, 0.500) and Sb at (0.500, 0.500, 0.500).

The calculation puts the formation energy without anion corrections at 1.4152 eV per atom. Its crystal system is tetragonal.

---

PmZnGaIr: optimized geometry, PBE.

It has space group R3m (No. 160, hexagonal axes), with a = 4.3800 Å, b = 4.3800 Å, c = 14.8274 Å, α = 90.00°, β = 90.00° and γ = 120.00°. The asymmetric unit holds Pm at (0.0000, 0.0000, 0.0000), Zn at (0.0000, 0.0000, 0.7949), Ga at (0.0000, 0.0000, 0.5405) and Ir at (0.0000, 0.0000, 0.1974).

For the formation energy, the calculation gives -545 meV/atom. Its crystal system is trigonal.

---

Tb5PrY2Ho: optimized geometry, PBE.

It has space group Cmc2_1 (No. 36), with a = 5.654 Å, b = 19.903 Å, c = 10.592 Å, α = 90.00°, β = 90.00° and γ = 90.00°. The asymmetric unit holds Tb at (0.000, 0.019, 0.000), Tb at (0.000, 0.282, 0.288), Tb at (0.000, 0.298, 0.684), Tb at (0.000, 0.388, 0.998), Tb at (0.000, 0.479, 0.714), Pr at (0.000, 0.416, 0.429), Y at (0.000, 0.112, 0.709), Y at (0.000, 0.114, 0.296) and Ho at (0.000, 0.201, 0.987).

For the formation energy, the calculation gives 155 meV/atom. Its crystal system is orthorhombic.

---

Rb3CrSn: optimized geometry, PBE.

It has space group Pm-3m (No. 221), with a = 6.757 Å, b = 6.757 Å, c = 6.757 Å, α = 90.00°, β = 90.00° and γ = 90.00°. The asymmetric unit holds Rb at (0.000, 0.000, 0.500), Cr at (0.000, 0.000, 0.000) and Sn at (0.500, 0.500, 0.500).

For the formation energy, the calculation gives 808 meV/atom. Its crystal system is cubic.

---

TmTiTcNi: optimized geometry, PBE.

It has space group F-43m (No. 216), with a = 6.405 Å, b = 6.405 Å, c = 6.405 Å, α = 90.00°, β = 90.00° and γ = 90.00°. The asymmetric unit holds Tm at (0.000, 0.000, 0.000), Ti at (0.000, 0.000, 0.500), Tc at (0.250, 0.250, 0.250) and Ni at (0.250, 0.250, 0.750).

For the formation energy, the calculation gives -281 meV/atom. Its crystal system is cubic.

---

SiMo3Rh: optimized geometry, PBE.

It has space group Pm-3m (No. 221), with a = 4.438 Å, b = 4.438 Å, c = 4.438 Å, α = 90.00°, β = 90.00° and γ = 90.00°. The asymmetric unit holds Si at (0.000, 0.000, 0.000), Mo at (0.000, 0.000, 0.500) and Rh at (0.500, 0.500, 0.500).

The calculation puts the formation energy without anion corrections at 1.0403 eV per atom. Its crystal system is cubic.

---

Ni2Ru2Pt: optimized geometry, PBE.

It has space group P4/mbm (No. 127), with a = 6.989 Å, b = 6.989 Å, c = 2.731 Å, α = 90.00°, β = 90.00° and γ = 90.00°. The asymmetric unit holds Ni at (0.121, 0.379, 0.000), Ru at (0.175, 0.675, 0.500) and Pt at (0.000, 0.000, 0.000).

For the formation energy, the calculation gives 254 meV/atom. Its crystal system is tetragonal.

---

AcEuCuPd: optimized geometry, PBE.

It has space group F-43m (No. 216), with a = 7.451 Å, b = 7.451 Å, c = 7.451 Å, α = 90.00°, β = 90.00° and γ = 90.00°. The asymmetric unit holds Ac at (0.000, 0.000, 0.000), Eu at (0.000, 0.000, 0.500), Cu at (0.250, 0.250, 0.250) and Pd at (0.250, 0.250, 0.750).

For the formation energy, the calculation gives -393 meV/atom. Its crystal system is cubic.

---

CsTePI2: optimized geometry, PBE.

It has space group P4/mmm (No. 123), with a = 7.502 Å, b = 7.502 Å, c = 7.952 Å, α = 90.00°, β = 90.00° and γ = 90.00°. The asymmetric unit holds Cs at (0.000, 0.000, 0.000), Te at (0.000, 0.000, 0.500), P at (0.500, 0.500, 0.500) and I at (0.000, 0.500, 0.000).

The calculation puts the formation energy without anion corrections at 0.7904 eV per atom. Its crystal system is tetragonal.

---

BeFe2Cl: optimized geometry, PBE.

It has space group Imm2 (No. 44), with a = 2.805 Å, b = 4.139 Å, c = 8.458 Å, α = 90.00°, β = 90.00° and γ = 90.00°. The asymmetric unit holds Be at (0.000, 0.000, 0.000), Fe at (0.000, 0.000, 0.491), Fe at (0.000, 0.500, 0.266) and Cl at (0.000, 0.500, 0.765).

The calculation puts the formation energy without anion corrections at 0.5452 eV per atom. Its crystal system is orthorhombic.

---

SmPu2Cd: optimized geometry, PBE.

It has space group P4/mmm (No. 123), with a = 4.545 Å, b = 4.545 Å, c = 5.288 Å, α = 90.00°, β = 90.00° and γ = 90.00°. The asymmetric unit holds Sm at (0.000, 0.000, 0.000), Pu at (0.000, 0.500, 0.500) and Cd at (0.500, 0.500, 0.000).

For the formation energy, the calculation gives 53 meV/atom. Its crystal system is tetragonal.

---

M_tot
In order: 0.000; 3.339; 0.000; 0.000; 7.002; 0.000; 0.000; 0.000; 7.187; 6.056; 4.788; 12.536
Unit: μB/f.u.
DOS(E_F)
In order: 4.05; 9.07; 7.86; 59.70; 3.65; 11.65; 7.25; 19.09; 29.15; 16.75; 6.12; 12.66
Unit: states/eV/cell